This record from the Open Quantum Materials Database describes a geometry-optimized Zr3W structure. The functional is GGA-PBE.

Cell and atoms, written as POSCAR:
```
Zr3W
1.0
4.960 0.000 0.000
0.000 6.947 0.000
0.000 0.000 4.796
W Zr
2 6
Cartesian
4.693 0.000 0.000
1.921 3.474 2.398
2.190 1.737 0.000
4.819 3.474 0.000
2.190 5.210 0.000
1.794 0.000 2.398
4.424 1.737 2.398
4.424 5.211 2.398
```

Summary:
ΔH_f (0 K) (eV/atom): 0.156
Excess energy over the best structure of this formula in the dataset (eV per atom): 0.019
SG: Pmmn (59)

***

This record from the Open Quantum Materials Database describes a geometry-optimized RbGdGeTe3 structure. The functional is GGA-PBE.

Cell and atoms, written as POSCAR:
```
RbGdGeTe3
1.0
2.340 -8.032 0.000
2.340 8.032 0.000
0.000 0.000 12.153
Gd Ge Rb Te
2 2 2 6
Cartesian
2.340 0.000 0.000
2.340 0.000 6.077
2.340 -7.410 3.038
2.340 7.410 9.115
2.340 3.987 3.038
2.340 -3.987 9.115
2.340 -5.967 0.550
2.340 -1.021 3.038
2.340 -5.967 5.527
2.340 5.967 6.627
2.340 1.021 9.115
2.340 5.967 11.603
```

Summary:
SG: Cmcm (63)

***

This record from the Open Quantum Materials Database describes a geometry-optimized Ho2TmGa3NiSn2 structure. The functional is GGA-PBE.

Cell and atoms, written as POSCAR:
```
Ho2TmGa3NiSn2
1.0
-1.281 -3.505 2.006
6.766 -2.551 -0.136
-2.201 4.010 5.601
Ga Ho Ni Sn Tm
3 2 1 2 1
Cartesian
5.637 -3.415 2.108
2.923 -0.613 5.269
-1.343 1.692 6.573
5.395 -0.059 3.342
2.001 2.424 5.514
0.011 0.004 0.014
3.123 -2.108 2.785
0.157 0.062 4.682
1.716 0.549 2.055
```

Summary:
SG: Amm2 (38)

***

This record from the Open Quantum Materials Database describes a geometry-optimized HoEr2TlCd3Ga2 structure. The functional is GGA-PBE.

Cell and atoms, written as POSCAR:
```
HoEr2TlCd3Ga2
1.0
-1.305 -1.211 4.130
1.622 -6.955 -1.526
5.071 4.389 2.889
Cd Er Ga Ho Tl
3 2 2 1 1
Cartesian
-0.229 -2.420 1.667
0.670 0.540 2.819
4.295 -2.502 3.073
0.919 -3.933 -0.862
2.869 2.481 1.634
2.119 -3.783 2.010
3.271 0.006 3.484
2.907 -1.114 0.592
6.690 -2.564 1.363
```

Summary:
SG: Amm2 (38)

***

This record from the Open Quantum Materials Database describes a geometry-optimized SmCo2SnSb structure. The functional is GGA-PBE.

Cell and atoms, written as POSCAR:
```
SmCo2SnSb
1.0
4.363 0.000 0.000
0.000 4.363 0.000
0.000 0.000 10.231
Co Sb Sm Sn
4 2 2 2
Cartesian
0.000 0.000 0.000
2.181 2.181 0.000
0.000 2.181 3.767
2.181 0.000 6.464
0.000 2.181 1.318
2.181 0.000 8.913
2.181 0.000 2.470
0.000 2.181 7.761
0.000 0.000 5.115
2.181 2.181 5.115
```

Summary:
SG: P4/nmm (129)

***

This record from the Open Quantum Materials Database describes a geometry-optimized RbGdTeO structure. The functional is GGA-PBE.

Cell and atoms, written as POSCAR:
```
RbGdTeO
1.0
-5.207 3.629 5.010
-3.861 0.565 7.082
-1.750 3.880 6.875
Gd O Rb Te
1 1 1 1
Cartesian
-5.194 3.877 9.108
-8.377 6.252 14.688
-0.125 0.093 0.219
-2.529 1.888 4.435
```

Summary:
Excess energy over the best structure of this formula in the dataset (eV per atom): 0.320
SG: R3m (160)

***

no.,electronic total energy (eV/atom)
1,-9.494
2,-4.143
3,-4.628
4,-3.185
5,-5.846
6,-5.223